Entry from the Alexandria database: an optimized crystal structure of PmCo2RhO8 (PBE with a Hubbard U).

Cell and atoms, written as CIF:
```
data_PmCo2RhO8
_cell_length_a 5.837
_cell_length_b 5.837
_cell_length_c 5.837
_cell_angle_alpha 108.36
_cell_angle_beta 108.36
_cell_angle_gamma 111.72
_symmetry_space_group_name_H-M 'P 1'
_symmetry_Int_Tables_number 1
loop_
_symmetry_equiv_pos_as_xyz
'x,y,z'
loop_
_atom_site_label
_atom_site_type_symbol
_atom_site_fract_x
_atom_site_fract_y
_atom_site_fract_z
O1 O 0.486 0.691 0.795
O2 O 0.309 0.104 0.795
O3 O 0.896 0.691 0.205
O4 O 0.733 0.064 0.669
O5 O 0.396 0.064 0.331
Rh1 Rh 0.250 0.750 0.500
O6 O 0.936 0.604 0.669
O7 O 0.936 0.267 0.331
O8 O 0.309 0.514 0.205
Co1 Co 0.750 0.250 0.500
Co2 Co 0.500 0.500 0.000
Pm1 Pm 0.000 0.000 0.000
```

Properties
Total DFT energy (no corrections) (eV/atom): -6.09
Volume (Å³ per atom): 12.740

=====

Entry from the Alexandria database: an optimized crystal structure of Pm2CoRhO6 (PBE with a Hubbard U).

Cell and atoms, written as CIF:
```
data_Pm2CoRhO6
_cell_length_a 5.426
_cell_length_b 5.841
_cell_length_c 7.710
_cell_angle_alpha 90.00
_cell_angle_beta 90.16
_cell_angle_gamma 90.00
_symmetry_space_group_name_H-M 'P 1'
_symmetry_Int_Tables_number 1
loop_
_symmetry_equiv_pos_as_xyz
'x,y,z'
loop_
_atom_site_label
_atom_site_type_symbol
_atom_site_fract_x
_atom_site_fract_y
_atom_site_fract_z
O1 O 0.683 0.299 0.555
O2 O 0.192 0.192 0.447
Rh1 Rh 0.000 0.500 0.000
O3 O 0.817 0.799 0.945
O4 O 0.317 0.701 0.445
O5 O 0.391 0.966 0.750
O6 O 0.609 0.034 0.250
Pm1 Pm 0.978 0.075 0.750
Rh2 Rh 0.500 0.000 0.500
O7 O 0.183 0.201 0.055
Pm2 Pm 0.022 0.925 0.250
O8 O 0.891 0.534 0.250
Pm3 Pm 0.522 0.575 0.750
O9 O 0.808 0.808 0.553
Pm4 Pm 0.478 0.425 0.250
Co1 Co 0.500 0.000 0.000
O10 O 0.308 0.692 0.053
O11 O 0.692 0.308 0.947
Co2 Co 0.000 0.500 0.500
O12 O 0.109 0.466 0.750
```

Properties
Total DFT energy (no corrections) (eV/atom): -7.34
Volume (Å³ per atom): 12.216

=====

Entry from the Alexandria database: an optimized crystal structure of Pm2CoRuO8 (PBE with a Hubbard U).

Cell and atoms, written as CIF:
```
data_Pm2CoRuO8
_cell_length_a 5.285
_cell_length_b 4.201
_cell_length_c 6.886
_cell_angle_alpha 93.53
_cell_angle_beta 82.63
_cell_angle_gamma 96.74
_symmetry_space_group_name_H-M 'P 1'
_symmetry_Int_Tables_number 1
loop_
_symmetry_equiv_pos_as_xyz
'x,y,z'
loop_
_atom_site_label
_atom_site_type_symbol
_atom_site_fract_x
_atom_site_fract_y
_atom_site_fract_z
O1 O 0.322 0.212 0.448
Pm1 Pm 0.482 0.689 0.263
Pm2 Pm 0.518 0.311 0.737
O2 O 0.730 0.689 0.952
O3 O 0.270 0.311 0.048
Co1 Co 0.000 0.000 0.500
O4 O 0.244 0.779 0.843
Ru1 Ru 0.000 0.000 0.000
O5 O 0.678 0.788 0.552
O6 O 0.956 0.208 0.752
O7 O 0.044 0.792 0.248
O8 O 0.756 0.221 0.157
```

Properties
Total DFT energy (no corrections) (eV/atom): -7.09
Volume (Å³ per atom): 12.534

=====

Entry from the Alexandria database: an optimized crystal structure of PmCoRuO6 (PBE with a Hubbard U).

Cell and atoms, written as CIF:
```
data_PmCoRuO6
_cell_length_a 5.500
_cell_length_b 5.500
_cell_length_c 8.349
_cell_angle_alpha 90.00
_cell_angle_beta 90.00
_cell_angle_gamma 120.00
_symmetry_space_group_name_H-M 'P 1'
_symmetry_Int_Tables_number 1
loop_
_symmetry_equiv_pos_as_xyz
'x,y,z'
loop_
_atom_site_label
_atom_site_type_symbol
_atom_site_fract_x
_atom_site_fract_y
_atom_site_fract_z
Ru1 Ru 0.667 0.333 0.250
Pm1 Pm 0.667 0.333 0.750
O1 O 0.942 0.633 0.380
O2 O 0.309 0.367 0.880
O3 O 0.309 0.942 0.620
Co1 Co 0.000 0.000 0.000
Pm2 Pm 0.333 0.667 0.250
O4 O 0.691 0.058 0.380
O5 O 0.058 0.367 0.620
O6 O 0.058 0.691 0.880
O7 O 0.942 0.309 0.120
O8 O 0.367 0.309 0.380
Co2 Co 0.000 0.000 0.500
O9 O 0.367 0.058 0.120
O10 O 0.633 0.691 0.620
O11 O 0.691 0.633 0.120
Ru2 Ru 0.333 0.667 0.750
O12 O 0.633 0.942 0.880
```

Properties
Total DFT energy (no corrections) (eV/atom): -6.82
Volume (Å³ per atom): 12.150

=====

Entry from the Alexandria database: an optimized crystal structure of PmCoSb2O8 (PBE with a Hubbard U).

Cell and atoms, written as CIF:
```
data_PmCoSb2O8
_cell_length_a 4.910
_cell_length_b 4.921
_cell_length_c 6.431
_cell_angle_alpha 90.00
_cell_angle_beta 90.00
_cell_angle_gamma 86.57
_symmetry_space_group_name_H-M 'P 1'
_symmetry_Int_Tables_number 1
loop_
_symmetry_equiv_pos_as_xyz
'x,y,z'
loop_
_atom_site_label
_atom_site_type_symbol
_atom_site_fract_x
_atom_site_fract_y
_atom_site_fract_z
O1 O 0.688 0.699 0.000
O2 O 0.200 0.784 0.778
O3 O 0.335 0.319 0.500
Sb1 Sb 0.500 0.500 0.761
Pm1 Pm 0.000 0.000 0.500
O4 O 0.665 0.681 0.500
O5 O 0.800 0.216 0.222
O6 O 0.312 0.301 0.000
Sb2 Sb 0.500 0.500 0.239
Co1 Co 0.000 0.000 0.000
O7 O 0.800 0.216 0.778
O8 O 0.200 0.784 0.222
```

Properties
Total DFT energy (no corrections) (eV/atom): -6.46
Volume (Å³ per atom): 12.926

=====

Entry from the Alexandria database: an optimized crystal structure of Pm2CoSbO6 (PBE with a Hubbard U).

Cell and atoms, written as CIF:
```
data_Pm2CoSbO6
_cell_length_a 5.566
_cell_length_b 5.891
_cell_length_c 8.111
_cell_angle_alpha 90.00
_cell_angle_beta 88.69
_cell_angle_gamma 90.00
_symmetry_space_group_name_H-M 'P 1'
_symmetry_Int_Tables_number 1
loop_
_symmetry_equiv_pos_as_xyz
'x,y,z'
loop_
_atom_site_label
_atom_site_type_symbol
_atom_site_fract_x
_atom_site_fract_y
_atom_site_fract_z
O1 O 0.307 0.697 0.059
O2 O 0.623 0.049 0.251
Pm1 Pm 0.524 0.567 0.752
Co1 Co 0.500 0.000 0.000
O3 O 0.306 0.700 0.434
O4 O 0.877 0.549 0.249
Pm2 Pm 0.976 0.067 0.748
O5 O 0.377 0.951 0.749
O6 O 0.806 0.800 0.934
Pm3 Pm 0.024 0.933 0.252
O7 O 0.693 0.303 0.941
O8 O 0.193 0.197 0.441
O9 O 0.123 0.451 0.751
Sb1 Sb 0.500 0.000 0.500
O10 O 0.807 0.803 0.559
O11 O 0.694 0.300 0.566
Pm4 Pm 0.476 0.433 0.248
O12 O 0.194 0.200 0.066
Co2 Co 0.000 0.500 0.500
Sb2 Sb 0.000 0.500 0.000
```

Properties
Total DFT energy (no corrections) (eV/atom): -7.12
Volume (Å³ per atom): 13.293

=====

Entry from the Alexandria database: an optimized crystal structure of Pm2ScCoO6 (PBE with a Hubbard U).

Cell and atoms, written as CIF:
```
data_Pm2ScCoO6
_cell_length_a 5.446
_cell_length_b 5.627
_cell_length_c 7.789
_cell_angle_alpha 90.00
_cell_angle_beta 89.44
_cell_angle_gamma 90.00
_symmetry_space_group_name_H-M 'P 1'
_symmetry_Int_Tables_number 1
loop_
_symmetry_equiv_pos_as_xyz
'x,y,z'
loop_
_atom_site_label
_atom_site_type_symbol
_atom_site_fract_x
_atom_site_fract_y
_atom_site_fract_z
Pm1 Pm 0.485 0.444 0.249
O1 O 0.287 0.698 0.452
Sc1 Sc 0.500 0.000 0.500
Sc2 Sc 0.000 0.500 0.000
O2 O 0.213 0.198 0.048
Pm2 Pm 0.985 0.056 0.749
O3 O 0.194 0.213 0.450
O4 O 0.787 0.802 0.952
Co1 Co 0.500 0.000 0.000
O5 O 0.694 0.287 0.950
Pm3 Pm 0.015 0.944 0.251
O6 O 0.713 0.302 0.548
O7 O 0.593 0.027 0.240
O8 O 0.306 0.713 0.050
O9 O 0.907 0.527 0.260
O10 O 0.407 0.973 0.760
O11 O 0.093 0.473 0.740
O12 O 0.806 0.787 0.550
Pm4 Pm 0.515 0.556 0.751
Co2 Co 0.000 0.500 0.500
```

Properties
Total DFT energy (no corrections) (eV/atom): -7.90
Volume (Å³ per atom): 11.935

=====

Entry from the Alexandria database: an optimized crystal structure of PmCoSeO6 (PBE with a Hubbard U).

Cell and atoms, written as CIF:
```
data_PmCoSeO6
_cell_length_a 5.076
_cell_length_b 4.937
_cell_length_c 4.937
_cell_angle_alpha 120.00
_cell_angle_beta 90.00
_cell_angle_gamma 90.00
_symmetry_space_group_name_H-M 'P 1'
_symmetry_Int_Tables_number 1
loop_
_symmetry_equiv_pos_as_xyz
'x,y,z'
loop_
_atom_site_label
_atom_site_type_symbol
_atom_site_fract_x
_atom_site_fract_y
_atom_site_fract_z
Se1 Se 0.500 0.000 0.000
O1 O 0.295 0.321 0.287
O2 O 0.295 0.713 0.034
O3 O 0.705 0.713 0.679
O4 O 0.705 0.321 0.034
O5 O 0.705 0.966 0.287
Co1 Co 0.500 0.667 0.333
O6 O 0.295 0.966 0.679
Pm1 Pm 0.000 0.333 0.667
```

Properties
Total DFT energy (no corrections) (eV/atom): -6.35
Volume (Å³ per atom): 11.903

=====

- volume of number 8 (PmCoSeO6)?
  11.903 Å³ per atom

=====

- Among the records above, which one has the lowest total DFT energy (no corrections)?
  Pm2ScCoO6